# 1
Compound: LiGe2Pd5
Source: Alexandria via LeMat-Bulk
Functional: PBE
Structure: optimized geometry

```
LiGe2Pd5
1.0
-1.8523 3.5974 5.1079
1.8523 -3.5974 5.1079
1.8523 3.5974 -5.1079
Li Ge Pd
1 2 5
Direct
0.0000 0.0000 0.0000
0.2557 0.7557 0.5000
0.7443 0.2443 0.5000
0.1531 0.3581 0.7950
0.4370 0.6419 0.7950
0.5000 0.0000 0.5000
0.5630 0.3581 0.2050
0.8469 0.6419 0.2050
```

spin magnetization: 0.000 μB per cell
formation energy from the elements: -41 kJ/mol of atoms

=====

# 2
Compound: Li2GePd4
Source: Alexandria via LeMat-Bulk
Functional: PBE
Structure: optimized geometry

```
Li2GePd4
1.0
-2.3114 2.3114 6.3251
2.3114 -2.3114 6.3251
2.3114 2.3114 -6.3251
Li Ge Pd
2 1 4
Direct
0.1157 0.1157 0.0000
0.8843 0.8843 0.0000
0.5000 0.5000 0.0000
0.0000 0.5000 0.5000
0.3140 0.3140 0.0000
0.5000 0.0000 0.5000
0.6860 0.6860 0.0000
```

spin magnetization: 0.000 μB per cell
relative energy among the computed polymorphs: 0.466 eV/atom
formation energy from the elements: 3 kJ/mol of atoms

=====

# 3
Compound: Li3Ge2Pd3
Source: Alexandria via LeMat-Bulk
Functional: PBE
Structure: optimized geometry

```
Li3Ge2Pd3
1.0
2.1469 1.2395 7.0147
-2.1469 1.2395 7.0147
0.0000 -2.4790 7.0147
Li Ge Pd
3 2 3
Direct
0.0000 0.0000 0.0000
0.1251 0.1251 0.1251
0.4972 0.4972 0.4972
0.2515 0.2515 0.2515
0.7478 0.7478 0.7478
0.3740 0.3740 0.3740
0.6230 0.6230 0.6230
0.8733 0.8733 0.8733
```

spin magnetization: 0.000 μB per cell
relative energy among the computed polymorphs: 0.000 eV/atom
formation energy from the elements: -57 kJ/mol of atoms

=====

# 4
Compound: Li4GePd4
Source: Alexandria via LeMat-Bulk
Functional: PBE
Structure: optimized geometry

```
Li4GePd4
1.0
-3.9189 3.9189 2.0608
3.9189 -3.9189 2.0608
3.9189 3.9189 -2.0608
Li Ge Pd
4 1 4
Direct
0.1705 0.1705 0.3410
0.1705 0.8295 0.0000
0.8295 0.1705 0.0000
0.8295 0.8295 0.6590
0.5000 0.5000 0.0000
0.1808 0.5000 0.6808
0.5000 0.1808 0.6808
0.5000 0.8192 0.3192
0.8192 0.5000 0.3192
```

spin magnetization: 0.000 μB per cell
formation energy from the elements: -46 kJ/mol of atoms

=====

# 5
Compound: Li5GePd
Source: Alexandria via LeMat-Bulk
Functional: PBE
Structure: optimized geometry

```
Li5GePd
1.0
-2.4136 2.5982 4.5197
2.4136 -2.5982 4.5197
2.4136 2.5982 -4.5197
Li Ge Pd
5 1 1
Direct
0.0000 0.0000 0.0000
0.4685 0.2135 0.7450
0.4685 0.7234 0.2550
0.5199 0.2515 0.2684
0.9831 0.2515 0.7316
0.7180 0.7180 0.0000
0.2019 0.7019 0.5000
```

spin magnetization: 0.000 μB per cell
formation energy from the elements: -18 kJ/mol of atoms

=====

# 6
Compound: Li4GePd7
Source: Alexandria via LeMat-Bulk
Functional: PBE
Structure: optimized geometry

```
Li4GePd7
1.0
4.7273 -2.3372 0.0000
4.7273 2.3372 0.0000
-0.8527 0.0000 8.1415
Li Ge Pd
4 1 7
Direct
0.0875 0.0875 0.2384
0.4045 0.4045 0.9006
0.5955 0.5955 0.0994
0.9125 0.9125 0.7616
0.5000 0.5000 0.5000
0.0000 0.0000 0.5000
0.1546 0.1546 0.9448
0.2745 0.2745 0.6153
0.3565 0.3565 0.2353
0.6435 0.6435 0.7647
0.7255 0.7255 0.3847
0.8454 0.8454 0.0552
```

spin magnetization: 0.000 μB per cell
formation energy from the elements: -27 kJ/mol of atoms

=====

# 7
Compound: Li2GePd3
Source: Alexandria via LeMat-Bulk
Functional: PBE
Structure: optimized geometry

```
Li2GePd3
1.0
2.7410 1.5825 3.8178
-2.7410 1.5825 3.8178
0.0000 -3.1650 3.8178
Li Ge Pd
2 1 3
Direct
0.1231 0.1231 0.1231
0.8769 0.8769 0.8769
0.5000 0.5000 0.5000
0.0000 0.5000 0.5000
0.5000 0.0000 0.5000
0.5000 0.5000 0.0000
```

spin magnetization: 0.000 μB per cell
relative energy among the computed polymorphs: 0.051 eV/atom
formation energy from the elements: -47 kJ/mol of atoms

=====

# 8
Compound: LiGePd6
Source: Alexandria via LeMat-Bulk
Functional: PBE
Structure: optimized geometry

```
LiGePd6
1.0
4.6192 0.0000 0.0000
-0.1067 5.2003 0.0000
-0.3983 -1.5051 5.2540
Li Ge Pd
1 1 6
Direct
0.0000 0.0000 0.0000
0.5000 0.5000 0.5000
0.0452 0.2621 0.5519
0.2599 0.4355 0.0805
0.4976 0.9958 0.7458
0.5024 0.0042 0.2542
0.7401 0.5645 0.9195
0.9548 0.7379 0.4481
```

spin magnetization: 0.000 μB per cell
relative energy among the computed polymorphs: 0.154 eV/atom
formation energy from the elements: -22 kJ/mol of atoms

=====

# 9
Compound: Li3Ge3Pd2
Source: Alexandria via LeMat-Bulk
Functional: PBE
Structure: optimized geometry

```
Li3Ge3Pd2
1.0
7.7164 0.0000 0.0000
0.0000 15.1505 0.0000
0.0000 0.0000 4.4457
Li Ge Pd
12 12 8
Direct
0.0772 0.1528 0.9996
0.0772 0.3472 0.9996
0.2352 0.2500 0.4984
0.2648 0.7500 0.9984
0.4228 0.6528 0.4996
0.4228 0.8472 0.4996
0.5772 0.1528 0.5004
0.5772 0.3472 0.5004
0.7352 0.2500 0.0016
0.7648 0.7500 0.5016
0.9228 0.6528 0.0004
0.9228 0.8472 0.0004
0.0955 0.7500 0.4981
0.2465 0.0613 0.5002
0.2465 0.4387 0.5002
0.2535 0.5613 0.0002
0.2535 0.9387 0.0002
0.4045 0.2500 0.9981
0.5955 0.7500 0.0019
0.7465 0.0613 0.9998
0.7465 0.4387 0.9998
0.7535 0.5613 0.4998
0.7535 0.9387 0.4998
0.9045 0.2500 0.5019
0.0810 0.5859 0.5006
0.0810 0.9141 0.5006
0.4190 0.0859 0.0006
0.4190 0.4141 0.0006
0.5810 0.5859 0.9994
0.5810 0.9141 0.9994
0.9190 0.0859 0.4994
0.9190 0.4141 0.4994
```

spin magnetization: 0.000 μB per cell
relative energy among the computed polymorphs: 0.014 eV/atom
formation energy from the elements: -39 kJ/mol of atoms

=====

# 10
Compound: Li12Ge2Pd5
Source: Alexandria via LeMat-Bulk
Functional: PBE
Structure: optimized geometry

```
Li12Ge2Pd5
1.0
6.5826 -2.8279 0.0000
6.5826 2.8279 0.0000
-3.6392 0.0000 8.3640
Li Ge Pd
12 2 5
Direct
0.0306 0.0306 0.3307
0.0675 0.5546 0.3915
0.1087 0.5810 0.1256
0.4190 0.8913 0.8744
0.4289 0.4289 0.7103
0.4454 0.9325 0.6085
0.5546 0.0675 0.3915
0.5711 0.5711 0.2897
0.5810 0.1087 0.1256
0.8913 0.4190 0.8744
0.9325 0.4454 0.6085
0.9694 0.9694 0.6693
0.2595 0.7405 0.0000
0.7405 0.2595 0.0000
0.1636 0.1636 0.1497
0.3143 0.3143 0.8618
0.5000 0.5000 0.5000
0.6857 0.6857 0.1382
0.8364 0.8364 0.8503
```

spin magnetization: 0.000 μB per cell
formation energy from the elements: -27 kJ/mol of atoms

=====

# 11
Compound: Li4Ge5Pd3
Source: Alexandria via LeMat-Bulk
Functional: PBE
Structure: optimized geometry

```
Li4Ge5Pd3
1.0
6.1443 -2.3462 0.0000
6.1443 2.3462 0.0000
-3.3411 0.0000 7.0984
Li Ge Pd
4 5 3
Direct
0.0967 0.0967 0.2358
0.1258 0.1258 0.8734
0.8742 0.8742 0.1266
0.9033 0.9033 0.7642
0.0000 0.0000 0.5000
0.2943 0.2943 0.1975
0.3028 0.3028 0.5672
0.6972 0.6972 0.4328
0.7057 0.7057 0.8025
0.3471 0.3471 0.9114
0.5000 0.5000 0.5000
0.6529 0.6529 0.0886
```

spin magnetization: 0.000 μB per cell
formation energy from the elements: -18 kJ/mol of atoms

=====

# 12
Compound: Li2GePd8
Source: Alexandria via LeMat-Bulk
Functional: PBE
Structure: optimized geometry

```
Li2GePd8
1.0
7.0016 -2.1097 0.0000
7.0016 2.1097 0.0000
-1.0735 0.0000 5.5494
Li Ge Pd
2 1 8
Direct
0.2200 0.2200 0.1584
0.7800 0.7800 0.8416
0.5000 0.5000 0.5000
0.0386 0.0386 0.2494
0.1546 0.1546 0.7118
0.3281 0.3281 0.5779
0.4079 0.4079 0.0589
0.5921 0.5921 0.9411
0.6719 0.6719 0.4221
0.8454 0.8454 0.2882
0.9614 0.9614 0.7506
```

spin magnetization: 0.000 μB per cell
relative energy among the computed polymorphs: 0.000 eV/atom
formation energy from the elements: -29 kJ/mol of atoms